Record 1
MgS2Br2 | GGA-PBE | relaxed

## Properties
The calculated total energy comes out at -3.0726 eV/atom. For the uncorrected formation energy, the calculation gives -2.2 eV per formula unit. As for the volume: 27.47 A^3/atom. For the spin magnetization, the calculation gives 0.000 Bohr magnetons per cell. Its crystal system is tetragonal. As for the space group: I4/mmm, No. 139.

Cell lengths 3.3952, 3.3952, 12.1546 Å; angles 81.97, 81.97, 90.00 degrees
Element x y z (fractional)
Br1 0.4312 0.4312 0.1376
S1 0.2500 0.7500 0.5000
Mg1 0.0000 0.0000 0.0000
Br2 0.5688 0.5688 0.8624
S2 0.7500 0.2500 0.5000


Record 2
CeSmMo4 | GGA-PBE | relaxed

## Properties
The calculated total energy comes out at -8.8074 eV/atom. As for the volume: 20.15 A^3/atom. For the spin magnetization, the calculation gives 0.000 Bohr magnetons per cell. Its crystal system is cubic. As for the calculated formation energy: 0.189 eV/atom. As for the space group: F-43m, No. 216.

Cell lengths 5.5506, 5.5506, 5.5506 Å; angles 60.00, 60.00, 60.00 degrees
Element x y z (fractional)
Ce1 0.2500 0.2500 0.2500
Mo1 0.6248 0.1256 0.6248
Mo2 0.1256 0.6248 0.6248
Sm1 0.0000 0.0000 0.0000
Mo3 0.6248 0.6248 0.6248
Mo4 0.6248 0.6248 0.1256


Record 3
Be4ZnW | GGA-PBE | relaxed

## Properties
The calculated total energy comes out at -4.7275 eV/atom. As for the volume: 10.30 A^3/atom. For the spin magnetization, the calculation gives 0.000 Bohr magnetons per cell. Its crystal system is cubic. As for the calculated formation energy: 0.128 eV/atom. As for the space group: F-43m, No. 216.

Cell lengths 4.4382, 4.4382, 4.4382 Å; angles 60.00, 60.00, 60.00 degrees
Element x y z (fractional)
Be1 0.3789 0.3789 0.3789
W1 0.7500 0.7500 0.7500
Be2 0.3789 0.3789 0.8634
Zn1 0.0000 0.0000 0.0000
Be3 0.3789 0.8634 0.3789
Be4 0.8634 0.3789 0.3789


Record 4
IrF5 | GGA-PBE | relaxed

## Properties
The calculated total energy comes out at -4.4211 eV/atom. For the uncorrected formation energy, the calculation gives -8.3 eV per formula unit. As for the volume: 15.43 A^3/atom. For the spin magnetization, the calculation gives 4.098 Bohr magnetons per cell. Its crystal system is monoclinic. As for the space group: C2/c, No. 15.

Cell lengths 5.5478, 5.5478, 7.6313 Å; angles 88.68, 114.20, 117.89 degrees
Each line ends with the local moment (μB).
Element x y z (fractional)
F1 0.1778 0.9132 0.8649  0.18
F2 0.9124 0.2038 0.5450  0.18
Ir1 0.5000 0.0000 0.5000  1.18
F3 0.4517 0.6871 0.3649  0.18
Ir2 0.0000 0.0000 0.0000  1.18
F4 0.0876 0.7962 0.4550  0.18
F5 0.1588 0.3674 0.9550  0.18
F6 0.3865 0.1365 0.2500  0.03
F7 0.8222 0.0868 0.1351  0.18
F8 0.5483 0.3129 0.6351  0.18
F9 0.8412 0.6326 0.0450  0.18
F10 0.6135 0.8635 0.7500  0.03


Record 5
NdYSiIr | GGA-PBE | relaxed

## Properties
The calculated total energy comes out at -7.1765 eV/atom. For the uncorrected formation energy, the calculation gives -3.2 eV per formula unit. As for the volume: 23.16 A^3/atom. For the spin magnetization, the calculation gives 0.000 Bohr magnetons per cell. Its crystal system is orthorhombic. As for the space group: Amm2, No. 38.

Cell lengths 4.2710, 4.0498, 5.7665 Å; angles 90.00, 111.74, 90.00 degrees
Element x y z (fractional)
Si1 0.5624 0.5000 0.1247
Nd1 0.1466 0.0000 0.2932
Y1 0.8637 0.5000 0.7275
Ir1 0.4273 0.0000 0.8546


Record 6
CaMg2Sc | GGA-PBE | relaxed

## Properties
The calculated total energy comes out at -2.7893 eV/atom. As for the volume: 27.68 A^3/atom. For the spin magnetization, the calculation gives 0.000 Bohr magnetons per cell. Its crystal system is monoclinic. As for the calculated formation energy: 0.091 eV/atom. As for the space group: Cm, No. 8.

Cell lengths 3.4401, 3.4401, 10.9601 Å; angles 81.21, 81.21, 60.15 degrees
Element x y z (fractional)
Mg1 0.2430 0.2430 0.2665
Sc1 0.4995 0.4995 0.5019
Mg2 0.0893 0.0893 0.7345
Ca1 0.6682 0.6682 0.9972


Record 7
Mg2IrAu | GGA-PBE | relaxed

## Properties
The calculated total energy comes out at -3.8091 eV/atom. As for the volume: 17.60 A^3/atom. For the spin magnetization, the calculation gives 0.000 Bohr magnetons per cell. Its crystal system is orthorhombic. As for the calculated formation energy: 0.023 eV/atom. As for the space group: Cmm2, No. 35.

Cell lengths 2.8639, 2.8639, 9.2424 Å; angles 90.00, 90.00, 111.77 degrees
Element x y z (fractional)
Mg1 0.5000 0.5000 0.2645
Ir1 0.5000 0.5000 0.7576
Mg2 0.0000 0.0000 0.9768
Au1 0.0000 0.0000 0.5011


Record 8
PaPt3 | GGA-PBE | relaxed

## Properties
The calculated total energy comes out at -7.8058 eV/atom. As for the volume: 18.39 A^3/atom. For the spin magnetization, the calculation gives 0.616 Bohr magnetons per cell. Its crystal system is orthorhombic. As for the calculated formation energy: -0.901 eV/atom. As for the space group: Cmmm, No. 65.

Cell lengths 5.8736, 5.8736, 5.8736 Å; angles 94.14, 113.95, 121.46 degrees
Each line ends with the local moment (μB).
Element x y z (fractional)
Pt1 0.5000 0.7500 0.7500  0.00
Pa1 0.4997 0.2497 0.7500  0.27
Pt2 0.9998 0.7498 0.7500  0.01
Pt3 0.0002 0.2502 0.2500  0.01
Pt4 0.0000 0.2500 0.7500  0.00
Pt5 0.0000 0.7500 0.2500  0.00
Pt6 0.5000 0.2500 0.2500  0.00
Pa2 0.5003 0.7503 0.2500  0.27


Record 9
MnHg2Br8 | GGA-PBE | relaxed

## Properties
The calculated total energy comes out at -2.5321 eV/atom. For the uncorrected formation energy, the calculation gives -4.7 eV per formula unit. As for the volume: 36.07 A^3/atom. For the spin magnetization, the calculation gives 2.985 Bohr magnetons per cell. Its crystal system is monoclinic. As for the space group: C2/m, No. 12.

Cell lengths 6.6614, 8.6597, 8.6597 Å; angles 52.63, 91.93, 91.93 degrees
Each line ends with the local moment (μB).
Element x y z (fractional)
Br1 0.8433 0.1427 0.1427  -0.03
Br2 0.1567 0.8573 0.8573  -0.03
Br3 0.6013 0.6733 0.6733  -0.03
Br4 0.2317 0.8245 0.2836  -0.03
Br5 0.2317 0.2836 0.8245  -0.03
Br6 0.3987 0.3267 0.3267  -0.03
Br7 0.7683 0.7164 0.1755  -0.03
Mn1 0.0000 0.0000 0.0000  3.08
Hg1 0.5655 0.8348 0.8348  0.01
Hg2 0.4345 0.1652 0.1652  0.01
Br8 0.7683 0.1755 0.7164  -0.03


Record 10
FeTe2Pb | GGA-PBE | relaxed

## Properties
The calculated total energy comes out at -4.4209 eV/atom. For the uncorrected formation energy, the calculation gives 0.8 eV per formula unit. As for the volume: 26.93 A^3/atom. For the spin magnetization, the calculation gives 2.075 Bohr magnetons per cell. Its crystal system is trigonal. As for the space group: R3m, No. 160.

Cell lengths 9.3243, 9.3243, 9.3243 Å; angles 22.90, 22.90, 22.90 degrees
Each line ends with the local moment (μB).
Element x y z (fractional)
Fe1 0.5022 0.5022 0.5022  2.17
Pb1 0.7641 0.7641 0.7641  -0.02
Te1 0.2205 0.2205 0.2205  -0.07
Te2 0.0131 0.0131 0.0131  0.00


Record 11
BaLiSbI2 | GGA-PBE | relaxed

## Properties
The calculated total energy comes out at -2.9895 eV/atom. For the uncorrected formation energy, the calculation gives -3.9 eV per formula unit. As for the volume: 34.39 A^3/atom. For the spin magnetization, the calculation gives 0.691 Bohr magnetons per cell. Its crystal system is tetragonal. As for the space group: P4/mmm, No. 123.

Cell lengths 5.5745, 5.5745, 5.5340 Å; angles 90.00, 90.00, 90.00 degrees
Each line ends with the local moment (μB).
Element x y z (fractional)
Li1 0.0000 0.0000 0.0000  0.01
I1 0.0000 0.5000 0.0000  0.04
I2 0.5000 0.0000 0.0000  0.04
Sb1 0.0000 0.0000 0.5000  0.20
Ba1 0.5000 0.5000 0.5000  0.01


Record 12
SbMoPb2 | GGA-PBE | relaxed

## Properties
The calculated total energy comes out at -5.2246 eV/atom. For the uncorrected formation energy, the calculation gives 1.5 eV per formula unit. As for the volume: 26.68 A^3/atom. For the spin magnetization, the calculation gives 0.699 Bohr magnetons per cell. Its crystal system is orthorhombic. As for the space group: Immm, No. 71.

Cell lengths 7.7667, 7.7667, 7.7667 Å; angles 155.46, 146.65, 41.84 degrees
Each line ends with the local moment (μB).
Element x y z (fractional)
Sb1 0.7500 0.2500 0.5000  -0.01
Pb1 0.0709 0.0709 0.0000  0.01
Pb2 0.4291 0.4291 0.0000  0.01
Mo1 0.2500 0.7500 0.5000  0.60


Record 13
U2NiAs3 | GGA-PBE | relaxed

## Properties
The calculated total energy comes out at -7.4060 eV/atom. As for the volume: 21.15 A^3/atom. For the spin magnetization, the calculation gives 5.708 Bohr magnetons per cell. Its crystal system is orthorhombic. As for the calculated formation energy: -0.355 eV/atom. As for the space group: Immm, No. 71.

Cell lengths 3.9768, 5.7313, 6.5698 Å; angles 115.86, 107.62, 90.00 degrees
Each line ends with the local moment (μB).
Element x y z (fractional)
U1 0.6809 0.1808 0.3617  2.33
Ni1 0.0000 0.5000 0.0000  0.40
As1 0.6340 0.6340 0.2679  -0.03
As2 0.0000 0.0000 0.0000  -0.06
As3 0.3660 0.3660 0.7321  -0.03
U2 0.3191 0.8192 0.6383  2.33


Record 14
ZnAgH3 | GGA-PBE | relaxed

## Properties
The calculated total energy comes out at -2.3231 eV/atom. As for the volume: 9.69 A^3/atom. For the spin magnetization, the calculation gives 0.000 Bohr magnetons per cell. Its crystal system is cubic. As for the space group: Pm-3m, No. 221.

Cell lengths 3.6453, 3.6453, 3.6453 Å; angles 90.00, 90.00, 90.00 degrees
Element x y z (fractional)
Zn1 0.0000 0.0000 0.0000
H1 0.0000 0.0000 0.5000
Ag1 0.5000 0.5000 0.5000
H2 0.0000 0.5000 0.0000
H3 0.5000 0.0000 0.0000


Record 15
BaNaLa2Os | GGA-PBE | relaxed

## Properties
The calculated total energy comes out at -4.7946 eV/atom. As for the volume: 40.70 A^3/atom. For the spin magnetization, the calculation gives 0.000 Bohr magnetons per cell. Its crystal system is tetragonal. As for the calculated formation energy: 0.071 eV/atom. As for the space group: P4/mmm, No. 123.

Cell lengths 5.6130, 5.6130, 6.4585 Å; angles 90.00, 90.00, 90.00 degrees
Element x y z (fractional)
Os1 0.0000 0.0000 0.0000
La1 0.5000 0.0000 0.0000
Na1 0.5000 0.5000 0.5000
La2 0.0000 0.5000 0.0000
Ba1 0.0000 0.0000 0.5000


Record 16
Pm2DyPdO6 | GGA-PBE | relaxed

## Properties
The calculated total energy comes out at -7.4831 eV/atom. For the uncorrected formation energy, the calculation gives -25.8 eV per formula unit. As for the volume: 14.71 A^3/atom. For the spin magnetization, the calculation gives 1.005 Bohr magnetons per cell. Its crystal system is triclinic. As for the space group: P1, No. 1.

Cell lengths 5.8507, 5.9580, 5.9280 Å; angles 62.10, 61.51, 57.75 degrees
Each line ends with the local moment (μB).
Element x y z (fractional)
Dy1 0.8097 0.8093 0.5718  0.04
O1 0.1036 0.4375 0.7870  0.02
O2 0.1802 0.9295 0.2696  0.12
Pm1 0.5450 0.5313 0.3953  0.00
O3 0.9581 0.5924 0.2589  0.02
Pd1 0.3198 0.3230 0.0428  0.56
O4 0.5906 0.1941 0.2587  0.01
Pm2 0.0334 0.0357 0.9108  0.00
O5 0.4473 0.6953 0.7464  0.15
O6 0.6739 0.1135 0.7741  0.02


Record 17
Tl2CdSb | GGA-PBE | relaxed

## Properties
The calculated total energy comes out at -2.4002 eV/atom. For the uncorrected formation energy, the calculation gives 0.2 eV per formula unit. As for the volume: 28.78 A^3/atom. For the spin magnetization, the calculation gives 0.000 Bohr magnetons per cell. Its crystal system is tetragonal. As for the space group: P4/mmm, No. 123.

Cell lengths 4.6497, 4.6497, 5.3241 Å; angles 90.00, 90.00, 90.00 degrees
Element x y z (fractional)
Cd1 0.5000 0.0000 0.5000
Tl1 0.0000 0.0000 0.0000
Tl2 0.5000 0.5000 0.0000
Sb1 0.0000 0.5000 0.5000


Record 18
Y3AuCl | GGA-PBE | relaxed

## Properties
The calculated total energy comes out at -5.4008 eV/atom. For the uncorrected formation energy, the calculation gives -2.5 eV per formula unit. As for the volume: 26.06 A^3/atom. For the spin magnetization, the calculation gives 0.000 Bohr magnetons per cell. Its crystal system is cubic. As for the space group: Pm-3m, No. 221.

Cell lengths 5.0697, 5.0697, 5.0697 Å; angles 90.00, 90.00, 90.00 degrees
Element x y z (fractional)
Cl1 0.0000 0.0000 0.0000
Y1 0.0000 0.5000 0.0000
Y2 0.0000 0.0000 0.5000
Y3 0.5000 0.0000 0.0000
Au1 0.5000 0.5000 0.5000


Record 19
PmTlZn | GGA-PBE | relaxed

## Properties
The calculated total energy comes out at -3.1239 eV/atom. As for the volume: 24.85 A^3/atom. For the spin magnetization, the calculation gives 0.000 Bohr magnetons per cell. Its crystal system is orthorhombic. As for the calculated formation energy: -0.327 eV/atom. As for the space group: Imm2, No. 44.

Cell lengths 4.7419, 6.1034, 6.1034 Å; angles 86.86, 67.18, 67.18 degrees
Element x y z (fractional)
Pm1 0.2348 0.8166 0.8166
Tl1 0.0104 0.3618 0.7216
Zn1 0.4434 0.9529 0.2644
Tl2 0.0104 0.7216 0.3618
Pm2 0.7342 0.3180 0.3180
Zn2 0.4434 0.2644 0.9529


Record 20
Ca3ZrZn4 | GGA-PBE | relaxed

## Properties
The calculated total energy comes out at -2.6697 eV/atom. As for the volume: 22.90 A^3/atom. For the spin magnetization, the calculation gives 0.000 Bohr magnetons per cell. Its crystal system is tetragonal. As for the calculated formation energy: -0.214 eV/atom. As for the space group: P4/mmm, No. 123.

Cell lengths 3.5451, 3.5451, 14.5740 Å; angles 90.00, 90.00, 90.00 degrees
Element x y z (fractional)
Zn1 0.0000 0.0000 0.1016
Zn2 0.0000 0.0000 0.8984
Ca1 0.5000 0.5000 0.2385
Ca2 0.5000 0.5000 0.7615
Zn3 0.0000 0.0000 0.3696
Zr1 0.5000 0.5000 0.0000
Zn4 0.0000 0.0000 0.6304
Ca3 0.5000 0.5000 0.5000